DFT (PBE-GGA) results for a geometry-optimized BeZnInOs2 structure.

```
BeZnInOs2
1.0
4.903 0.000 0.000
0.000 4.238 0.000
0.000 0.000 4.903
Be Os In Zn
1 2 1 1
Direct
0.000 0.500 0.000
0.000 0.000 0.500
0.500 0.000 0.000
0.000 0.000 0.000
0.500 0.500 0.500
```

Computed properties:
ΔH_f (0 K): 2.21 eV/atom
Final energy: -0.28170 Ry per atom
Volume: 102 Å³/f.u.
SG: P4/mmm (123)
Fermi-level density of states: 4.5 states/eV per cell